(1)
Material: LiSc2Pt
Method: DFT, SCAN
State: single point on PBEsol structure

POSCAR file:
```
LiSc2Pt
1.0
-3.413 4.678 -0.091
-4.680 0.243 3.734
1.313 4.613 3.591
Sc Li Pt
4 2 2
direct
0.875 0.471 0.029
0.096 0.029 0.529
0.654 0.971 0.471
0.375 0.529 0.971
0.500 0.000 0.000
0.250 0.500 0.500
0.750 0.500 0.500
0.000 0.000 0.000
```

* energy relative to the elements: -40.5 kJ/mol of atoms
* mass density: 6.08 Mg/m³
* symmetry: I-42d



(2)
Material: Re2TcAs
Method: DFT, SCAN
State: single point on PBEsol structure

POSCAR file:
```
Re2TcAs
1.0
2.751 0.006 0.000
-1.207 2.472 0.000
0.000 0.000 8.731
Tc Re As
1 2 1
direct
0.000 0.000 0.498
0.500 0.500 0.748
0.000 0.000 0.999
0.500 0.500 0.255
```

* energy relative to the elements: 46.2 kJ/mol of atoms
* mass density: 15.24 Mg/m³
* symmetry: Cmm2



(3)
Material: ReGeI2O
Method: DFT, SCAN
State: single point on PBEsol structure

POSCAR file:
```
ReGeI2O
1.0
-1.186 3.277 1.018
-5.343 -1.890 -0.141
0.402 -1.544 5.440
O Re I Ge
1 1 2 1
direct
0.500 0.000 0.000
0.500 0.500 0.500
0.000 0.500 0.000
0.000 0.000 0.500
0.000 0.000 0.000
```

* mass density: 7.52 Mg/m³
* formation energy (no corrections): 938 meV/atom
* symmetry: P4/mmm